# 1
TaTe3Se | GGA-PBE | relaxed

Summary:
Raw total energy, eV per atom: -3.762
Energy relative to the lowest polymorph listed for this composition, kcal/mol of atoms: 18.38

Lattice parameters (Å, degrees): 5.3160 5.3160 5.3160 90.00 90.00 90.00
With the nearest neighbours (Å) after each atom.
Positions (direct):
Te 0.5000 0.0000 0.0000  2 Se 2.66
Se 0.0000 0.0000 0.0000  6 Te 2.66
Ta 0.5000 0.5000 0.5000  12 Te 3.76
Te 0.0000 0.0000 0.5000  2 Se 2.66
Te 0.0000 0.5000 0.0000  2 Se 2.66

=====

# 2
TaTeSe4 | GGA-PBE | relaxed

Summary:
Raw total energy, eV per atom: -5.042

Lattice parameters (Å, degrees): 6.7612 6.5146 7.0999 90.00 80.17 90.00
With the nearest neighbours (Å) after each atom.
Positions (direct):
Se 0.6726 0.1574 0.9290  2 Ta 2.53-2.57
Se 0.1076 0.8836 0.6460  1 Ta 2.61, 2 Te 2.78-2.85
Se 0.3274 0.8426 0.0710  2 Ta 2.53-2.57
Se 0.8274 0.6574 0.0710  2 Ta 2.53-2.57
Ta 0.0000 0.0000 0.0000  6 Se 2.53-2.61
Se 0.6076 0.6164 0.6460  1 Ta 2.61, 2 Te 2.78-2.85
Se 0.8924 0.1164 0.3540  1 Ta 2.61, 2 Te 2.78-2.85
Se 0.1726 0.3426 0.9290  2 Ta 2.53-2.57
Ta 0.5000 0.5000 0.0000  6 Se 2.53-2.61
Te 0.5000 0.0000 0.5000  4 Se 2.78-2.85
Se 0.3924 0.3836 0.3540  1 Ta 2.61, 2 Te 2.78-2.85
Te 0.0000 0.5000 0.5000  4 Se 2.78-2.85

=====

# 3
TaTe3Se | GGA-PBE | relaxed

Summary:
Raw total energy, eV per atom: -4.560
Energy relative to the lowest polymorph listed for this composition, kcal/mol of atoms: 0.00

Lattice parameters (Å, degrees): 5.3503 5.3503 5.3503 90.00 90.00 90.00
With the nearest neighbours (Å) after each atom.
Positions (direct):
Te 0.0000 0.5000 0.0000  2 Ta 2.68
Te 0.0000 0.0000 0.5000  2 Ta 2.68
Ta 0.0000 0.0000 0.0000  6 Te 2.68
Se 0.5000 0.5000 0.5000  12 Te 3.78
Te 0.5000 0.0000 0.0000  2 Ta 2.68

=====

# 4
Ta2TeSe3 | GGA-PBE | relaxed

Summary:
Raw total energy, eV per atom: -6.897

Lattice parameters (Å, degrees): 3.5124 3.5124 28.3739 90.00 90.00 120.00
With the nearest neighbours (Å) after each atom.
Positions (direct):
Te 0.6667 0.3333 0.1815  3 Ta 2.79
Ta 0.3333 0.6667 0.7483  6 Se 2.62
Se 0.3333 0.6667 0.0545  3 Ta 2.62
Se 0.6667 0.3333 0.8070  3 Ta 2.62
Se 0.3333 0.6667 0.4451  3 Ta 2.62
Se 0.3333 0.6667 0.5624  3 Ta 2.62
Ta 0.3333 0.6667 0.2493  6 Te 2.79
Se 0.6667 0.3333 0.6896  3 Ta 2.62
Te 0.6667 0.3333 0.3170  3 Ta 2.79
Ta 0.6667 0.3333 0.9958  6 Se 2.62
Ta 0.6667 0.3333 0.5038  6 Se 2.62
Se 0.3333 0.6667 0.9371  3 Ta 2.62

=====

What energy relative to the elements, uncorrected values result from the calculations? In sequence: 1.190 -0.220 0.393 -0.680 eV/atom.